The following is a DFT calculation (SCAN) of a crystal of Cu2ReCl relaxed with PBEsol.

Cell and atoms, written as CIF:
```
data_Cu2ReCl
_chemical_formula_sum 'Cu2 Re1 Cl1'
_cell_length_a 2.792
_cell_length_b 2.792
_cell_length_c 7.422
_cell_angle_alpha 90.00
_cell_angle_beta 90.00
_cell_angle_gamma 90.00
_symmetry_space_group_name_H-M 'P 4 m m'
_symmetry_Int_Tables_number 99
loop_
_symmetry_equiv_pos_as_xyz
'x,y,z'
'-y,x,z'
'-x,-y,z'
'y,-x,z'
'-x,y,z'
'y,x,z'
'x,-y,z'
'-y,-x,z'
loop_
_atom_site_label
_atom_site_fract_x
_atom_site_fract_y
_atom_site_fract_z
Cu1 0.000 0.000 0.000
Cu2 0.500 0.500 0.194
Re1 0.000 0.000 0.422
Cl1 0.500 0.500 0.643
```

Total magnetization   0.00 μB/cell
Raw formation energy   0.613 eV/atom
ρ   10.008 g cm⁻³
Crystal system   tetragonal
Distance to the lowest polymorph of the same formula   0.174 eV/atom
E   -26.76 eV per atom



The following is a DFT calculation (SCAN) of a crystal of NaLa3Tc relaxed with PBEsol.

Cell and atoms, written as CIF:
```
data_NaLa3Tc
_chemical_formula_sum 'Na1 La3 Tc1'
_cell_length_a 5.518
_cell_length_b 5.518
_cell_length_c 5.518
_cell_angle_alpha 90.00
_cell_angle_beta 90.00
_cell_angle_gamma 90.00
_symmetry_space_group_name_H-M 'P m -3 m'
_symmetry_Int_Tables_number 221
_symmetry_space_group_name_Hall '-P 4 2 3'
loop_
_atom_site_label
_atom_site_fract_x
_atom_site_fract_y
_atom_site_fract_z
Na1 0.000 0.000 0.000
La1 0.000 0.500 0.500
Tc1 0.500 0.500 0.500
```

Total magnetization   0.09 μB/cell
ρ   5.314 g cm⁻³
Crystal system   cubic
E   -33.68 eV per atom
Calculated formation energy   0.03 eV/atom



The following is a DFT calculation (SCAN) of a crystal of MnPbAu2 relaxed with PBEsol.

Cell and atoms, written as CIF:
```
data_MnPbAu2
_chemical_formula_sum 'Mn2 Pb2 Au4'
_cell_length_a 3.305
_cell_length_b 4.639
_cell_length_c 9.719
_cell_angle_alpha 90.00
_cell_angle_beta 90.00
_cell_angle_gamma 90.00
_symmetry_space_group_name_H-M 'I m m m'
_symmetry_Int_Tables_number 71
_symmetry_space_group_name_Hall '-I 2 2'
loop_
_atom_site_label
_atom_site_fract_x
_atom_site_fract_y
_atom_site_fract_z
Mn1 0.000 0.000 0.000
Pb1 0.000 0.000 0.500
Au1 0.000 0.500 0.281
```

Total magnetization   8.18 μB/cell
ρ   14.621 g cm⁻³
Crystal system   orthorhombic
E   -58.15 eV per atom
Calculated formation energy   -0.06 eV/atom



The following is a DFT calculation (SCAN) of a crystal of CuHgSCl relaxed with PBEsol.

Cell and atoms, written as CIF:
```
data_CuHgSCl
_chemical_formula_sum 'Cu8 Hg8 S8 Cl8'
_cell_length_a 9.789
_cell_length_b 17.936
_cell_length_c 3.967
_cell_angle_alpha 90.00
_cell_angle_beta 90.00
_cell_angle_gamma 90.00
_symmetry_space_group_name_H-M 'P b a m'
_symmetry_Int_Tables_number 55
loop_
_symmetry_equiv_pos_as_xyz
'x,y,z'
'-x,-y,-z'
'-x,-y,z'
'x,y,-z'
'x+1/2,-y+1/2,-z'
'-x+1/2,y+1/2,z'
'-x+1/2,y+1/2,-z'
'x+1/2,-y+1/2,z'
loop_
_atom_site_label
_atom_site_fract_x
_atom_site_fract_y
_atom_site_fract_z
Cu1 0.066 0.065 0.000
Cu2 0.101 0.626 0.000
Hg1 0.029 0.230 0.500
Hg2 0.241 0.393 0.500
S1 0.003 0.363 0.500
S2 0.013 0.902 0.500
Cl1 0.224 0.516 0.000
Cl2 0.249 0.228 0.000
```

Total magnetization   0.00 μB/cell
Raw formation energy   -0.426 eV/atom
ρ   6.326 g cm⁻³
Crystal system   orthorhombic
Distance to the lowest polymorph of the same formula   0.000 eV/atom
E   -25.67 eV per atom



The following is a DFT calculation (SCAN) of a crystal of TcIr2Ru relaxed with PBEsol.

Cell and atoms, written as CIF:
```
data_TcIr2Ru
_chemical_formula_sum 'Tc3 Ir6 Ru3'
_cell_length_a 2.6912
_cell_length_b 2.6912
_cell_length_c 26.4858
_cell_angle_alpha 90.00
_cell_angle_beta 90.00
_cell_angle_gamma 120.00
_symmetry_space_group_name_H-M 'R 3 m'
_symmetry_Int_Tables_number 160
_symmetry_space_group_name_Hall 'R 3 -2"'
loop_
_atom_site_label
_atom_site_fract_x
_atom_site_fract_y
_atom_site_fract_z
Tc1 0.0000 0.0000 0.0000
Ir1 0.0000 0.0000 0.2505
Ir2 0.0000 0.0000 0.4979
Ru1 0.0000 0.0000 0.7482
```

Total magnetization   0.00 μB/cell
ρ   17.497 g cm⁻³
Crystal system   trigonal
Distance to the lowest polymorph of the same formula   0.112 eV/atom
E   -53.08 eV per atom
Calculated formation energy   -0.06 eV/atom



The following is a DFT calculation (SCAN) of a crystal of RbTcO4 relaxed with PBEsol.

Cell and atoms, written as CIF:
```
data_RbTcO4
_chemical_formula_sum 'Rb4 Tc4 O16'
_cell_length_a 5.799
_cell_length_b 5.799
_cell_length_c 13.120
_cell_angle_alpha 90.00
_cell_angle_beta 90.00
_cell_angle_gamma 90.00
_symmetry_space_group_name_H-M 'I 41/a'
_symmetry_Int_Tables_number 88
loop_
_symmetry_equiv_pos_as_xyz
'x,y,z'
'-x,-y,-z'
'-y+3/4,x+1/4,z+1/4'
'y+3/4,-x+1/4,-z+1/4'
'-x+1/2,-y,z+1/2'
'x+1/2,y,-z+1/2'
'y+3/4,-x+3/4,z+3/4'
'-y+3/4,x+3/4,-z+3/4'
'x+1/2,y+1/2,z+1/2'
'-x+1/2,-y+1/2,-z+1/2'
'-y+1/4,x+3/4,z+3/4'
'y+1/4,-x+3/4,-z+3/4'
'-x,-y+1/2,z'
'x,y+1/2,-z'
'y+1/4,-x+1/4,z+1/4'
'-y+1/4,x+1/4,-z+1/4'
loop_
_atom_site_label
_atom_site_fract_x
_atom_site_fract_y
_atom_site_fract_z
Rb1 0.000 0.250 0.125
Tc1 0.000 0.250 0.625
O1 0.111 0.466 0.700
```

Total magnetization   0.00 μB/cell
Raw formation energy   -1.898 eV/atom
ρ   3.726 g cm⁻³
Crystal system   tetragonal
E   -15.35 eV per atom



The following is a DFT calculation (SCAN) of a crystal of Co2PPtRh relaxed with PBEsol.

Cell and atoms, written as CIF:
```
data_Co2PPtRh
_chemical_formula_sum 'Co2 P1 Pt1 Rh1'
_cell_length_a 4.455
_cell_length_b 4.455
_cell_length_c 4.773
_cell_angle_alpha 90.00
_cell_angle_beta 90.00
_cell_angle_gamma 90.00
_symmetry_space_group_name_H-M 'P 4/m m m'
_symmetry_Int_Tables_number 123
_symmetry_space_group_name_Hall '-P 4 2'
loop_
_atom_site_label
_atom_site_fract_x
_atom_site_fract_y
_atom_site_fract_z
Co1 0.000 0.500 0.000
P1 0.000 0.000 0.500
Pt1 0.500 0.500 0.000
Rh1 0.500 0.500 0.500
```

Total magnetization   6.30 μB/cell
ρ   7.834 g cm⁻³
Crystal system   tetragonal
E   -28.39 eV per atom
Calculated formation energy   1.40 eV/atom



The following is a DFT calculation (SCAN) of a crystal of Ta2Be2Co relaxed with PBEsol.

Cell and atoms, written as CIF:
```
data_Ta2Be2Co
_chemical_formula_sum 'Ta4 Be4 Co2'
_cell_length_a 5.924
_cell_length_b 5.924
_cell_length_c 3.434
_cell_angle_alpha 90.00
_cell_angle_beta 90.00
_cell_angle_gamma 90.00
_symmetry_space_group_name_H-M 'P 4/m b m'
_symmetry_Int_Tables_number 127
_symmetry_space_group_name_Hall '-P 4 2ab'
loop_
_atom_site_label
_atom_site_fract_x
_atom_site_fract_y
_atom_site_fract_z
Ta1 0.175 0.325 0.000
Be1 0.126 0.626 0.500
Co1 0.000 0.000 0.500
```

Total magnetization   0.00 μB/cell
ρ   12.094 g cm⁻³
Crystal system   tetragonal
E   -32.01 eV per atom
Calculated formation energy   -0.18 eV/atom



The following is a DFT calculation (SCAN) of a crystal of MgSnBi2 relaxed with PBEsol.

Cell and atoms, written as CIF:
```
data_MgSnBi2
_chemical_formula_sum 'Mg4 Sn4 Bi8'
_cell_length_a 6.720
_cell_length_b 6.720
_cell_length_c 13.269
_cell_angle_alpha 90.00
_cell_angle_beta 90.00
_cell_angle_gamma 90.00
_symmetry_space_group_name_H-M 'I -4 2 d'
_symmetry_Int_Tables_number 122
_symmetry_space_group_name_Hall 'I -4 2bw'
loop_
_atom_site_label
_atom_site_fract_x
_atom_site_fract_y
_atom_site_fract_z
Mg1 0.000 0.000 0.000
Sn1 0.000 0.000 0.500
Bi1 0.246 0.250 0.125
```

Total magnetization   0.00 μB/cell
ρ   6.219 g cm⁻³
Crystal system   tetragonal
E   -49.51 eV per atom
Calculated formation energy   0.00 eV/atom



The following is a DFT calculation (SCAN) of a crystal of PAu5 relaxed with PBEsol.

Cell and atoms, written as CIF:
```
data_PAu5
_chemical_formula_sum 'P2 Au10'
_cell_length_a 4.793
_cell_length_b 2.829
_cell_length_c 14.782
_cell_angle_alpha 90.00
_cell_angle_beta 90.00
_cell_angle_gamma 90.00
_symmetry_space_group_name_H-M 'A m m 2'
_symmetry_Int_Tables_number 38
loop_
_symmetry_equiv_pos_as_xyz
'x,y,z'
'-x,-y,z'
'-x,y,z'
'x,-y,z'
'x,y+1/2,z+1/2'
'-x,-y+1/2,z+1/2'
'-x,y+1/2,z+1/2'
'x,-y+1/2,z+1/2'
loop_
_atom_site_label
_atom_site_fract_x
_atom_site_fract_y
_atom_site_fract_z
P1 0.000 0.000 0.000
Au1 0.000 0.000 0.341
Au2 0.000 0.000 0.667
Au3 0.500 0.000 0.228
Au4 0.500 0.000 0.560
Au5 0.500 0.000 0.896
```

Total magnetization   0.00 μB/cell
ρ   16.835 g cm⁻³
Crystal system   orthorhombic
Distance to the lowest polymorph of the same formula   0.041 eV/atom
E   -59.15 eV per atom
Calculated formation energy   0.22 eV/atom



The following is a DFT calculation (SCAN) of a crystal of Zr2TlCd relaxed with PBEsol.

Cell and atoms, written as CIF:
```
data_Zr2TlCd
_chemical_formula_sum 'Zr4 Tl2 Cd2'
_cell_length_a 4.355
_cell_length_b 4.362
_cell_length_c 9.349
_cell_angle_alpha 90.00
_cell_angle_beta 90.00
_cell_angle_gamma 90.00
_symmetry_space_group_name_H-M 'C m m 2'
_symmetry_Int_Tables_number 35
loop_
_symmetry_equiv_pos_as_xyz
'x,y,z'
'-x,-y,z'
'-x,y,z'
'x,-y,z'
'x+1/2,y+1/2,z'
'-x+1/2,-y+1/2,z'
'-x+1/2,y+1/2,z'
'x+1/2,-y+1/2,z'
loop_
_atom_site_label
_atom_site_fract_x
_atom_site_fract_y
_atom_site_fract_z
Zr1 0.000 0.000 0.000
Zr2 0.000 0.500 0.238
Tl1 0.000 0.000 0.499
Cd1 0.000 0.500 0.754
```

Total magnetization   0.00 μB/cell
ρ   9.336 g cm⁻³
Crystal system   orthorhombic
E   -41.13 eV per atom
Calculated formation energy   -0.08 eV/atom



The following is a DFT calculation (SCAN) of a crystal of ScZn2SiIr relaxed with PBEsol.

Cell and atoms, written as CIF:
```
data_ScZn2SiIr
_chemical_formula_sum 'Sc1 Zn2 Si1 Ir1'
_cell_length_a 4.706
_cell_length_b 4.706
_cell_length_c 4.818
_cell_angle_alpha 90.00
_cell_angle_beta 90.00
_cell_angle_gamma 90.00
_symmetry_space_group_name_H-M 'P 4/m m m'
_symmetry_Int_Tables_number 123
_symmetry_space_group_name_Hall '-P 4 2'
loop_
_atom_site_label
_atom_site_fract_x
_atom_site_fract_y
_atom_site_fract_z
Sc1 0.000 0.000 0.000
Zn1 0.000 0.500 0.500
Si1 0.500 0.500 0.000
Ir1 0.000 0.000 0.500
```

Total magnetization   0.00 μB/cell
Raw formation energy   0.249 eV/atom
ρ   6.165 g cm⁻³
Crystal system   tetragonal
E   -24.23 eV per atom